Below is a geometry-optimized Th5C4F structure, with properties calculated at the PBE level.

Computed properties:
**Total moment**: 0.00 μB/atom
**Crystal system**: monoclinic
**Formation energy (no corrections)**: -761.2 kJ/mol of formula units
**V**: 383 Å³/cell

Unit cell a=12.5494 b=3.7768 c=9.2950 alpha=90.00 beta=119.70 gamma=90.00
With the nearest neighbours (Å) after each atom.
Space group C2/m (No. 12)
Asymmetric unit:
1 Th 0.0000 0.0000 0.0000 [2 per cell]  6 C 2.71-2.72
2 Th 0.1052 0.5000 0.3893 [4 per cell]  4 C 2.51-2.68, 2 F 2.78
3 Th 0.2064 0.0000 0.8107 [4 per cell]  5 C 2.55-2.76, 1 F 2.76
4 C 0.1045 0.5000 0.9009 [4 per cell]  6 Th 2.55-2.71
5 C 0.1981 0.0000 0.3103 [4 per cell]  6 Th 2.51-2.76
6 F 0.0000 0.0000 0.5000 [2 per cell]  6 Th 2.76-2.78